Na2Sr5Ga2 | Alexandria | PBE-GGA | relaxed; density = 2.80 g/cm3; crystal system = orthorhombic; formation energy = -0.1647 eV per atom; SG = No. 64
1.0
9.863 -4.332 0.000
9.863 4.332 0.000
0.000 0.000 8.654
Na Sr Ga
4 10 4
direct
0.227 0.227 0.000
0.273 0.273 0.500
0.727 0.727 0.500
0.773 0.773 0.000
0.000 0.000 0.000
0.067 0.712 0.677
0.212 0.567 0.177
0.288 0.933 0.677
0.433 0.788 0.177
0.500 0.500 0.500
0.567 0.212 0.823
0.712 0.067 0.323
0.788 0.433 0.823
0.933 0.288 0.323
0.112 0.888 0.388
0.388 0.612 0.888
0.612 0.388 0.112
0.888 0.112 0.612